Entry 1:
The following is a DFT calculation (PBE-GGA) of CoTe2I after structural relaxation.

Calculated values
- Raw formation energy: -0.09 eV per atom
- Energy relative to the lowest polymorph listed for this composition: 63 meV per atom

Cell lengths 6.354, 6.812, 7.275 Å; angles 64.03, 81.89, 62.49 degrees
Positions (direct):
Co 0.155 0.190 0.000
Co 0.845 0.810 0.000
Te 0.211 0.748 0.166
Te 0.457 0.917 0.832
Te 0.543 0.083 0.168
Te 0.789 0.252 0.834
I 0.076 0.635 0.735
I 0.924 0.365 0.265

Entry 2:
The following is a DFT calculation (PBE-GGA) of Co3TeI after structural relaxation.

Calculated values
- Raw formation energy: 1.02 eV per atom
- Energy relative to the lowest polymorph listed for this composition: 0 meV per atom

Cell lengths 4.896, 4.896, 4.896 Å; angles 90.00, 90.00, 90.00 degrees
Positions (direct):
Co 0.000 0.000 0.500
Co 0.000 0.500 0.000
Co 0.500 0.000 0.000
Te 0.000 0.000 0.000
I 0.500 0.500 0.500

Entry 3:
The following is a DFT calculation (PBE-GGA) of CoTe2I after structural relaxation.

Calculated values
- Raw formation energy: 0.61 eV per atom
- Energy relative to the lowest polymorph listed for this composition: 765 meV per atom

Cell lengths 4.393, 4.393, 5.903 Å; angles 90.00, 90.00, 90.00 degrees
Positions (direct):
Co 0.000 0.000 0.000
Te 0.000 0.000 0.500
Te 0.500 0.500 0.000
I 0.500 0.500 0.500

Entry 4:
The following is a DFT calculation (PBE-GGA) of CoTe2I after structural relaxation.

Calculated values
- Raw formation energy: -0.11 eV per atom
- Energy relative to the lowest polymorph listed for this composition: 46 meV per atom

Cell lengths 3.960, 3.960, 25.370 Å; angles 90.00, 90.00, 120.00 degrees
Positions (direct):
Co 0.000 0.000 0.000
Co 0.333 0.667 0.667
Co 0.667 0.333 0.333
Te 0.000 0.000 0.381
Te 0.000 0.000 0.619
Te 0.333 0.667 0.048
Te 0.333 0.667 0.286
Te 0.667 0.333 0.714
Te 0.667 0.333 0.952
I 0.000 0.000 0.500
I 0.333 0.667 0.167
I 0.667 0.333 0.833

Entry 5:
The following is a DFT calculation (PBE-GGA) of CoTe2I after structural relaxation.

Calculated values
- Raw formation energy: 0.28 eV per atom
- Energy relative to the lowest polymorph listed for this composition: 433 meV per atom

Cell lengths 5.931, 5.931, 12.561 Å; angles 90.00, 90.00, 90.00 degrees
Positions (direct):
Co 0.000 0.250 0.375
Co 0.000 0.750 0.625
Co 0.500 0.250 0.125
Co 0.500 0.750 0.875
Te 0.000 0.250 0.174
Te 0.000 0.250 0.576
Te 0.000 0.750 0.424
Te 0.000 0.750 0.826
Te 0.500 0.250 0.326
Te 0.500 0.250 0.924
Te 0.500 0.750 0.076
Te 0.500 0.750 0.674
I 0.000 0.250 0.875
I 0.000 0.750 0.125
I 0.500 0.250 0.625
I 0.500 0.750 0.375

Entry 6:
The following is a DFT calculation (PBE-GGA) of CoTe2I after structural relaxation.

Calculated values
- Raw formation energy: 0.25 eV per atom
- Energy relative to the lowest polymorph listed for this composition: 406 meV per atom

Cell lengths 3.661, 3.661, 28.134 Å; angles 90.00, 90.00, 120.00 degrees
Positions (direct):
Co 0.000 0.000 0.000
Co 0.333 0.667 0.667
Co 0.667 0.333 0.333
Te 0.000 0.000 0.275
Te 0.000 0.000 0.851
Te 0.333 0.667 0.518
Te 0.333 0.667 0.942
Te 0.667 0.333 0.184
Te 0.667 0.333 0.608
I 0.000 0.000 0.391
I 0.333 0.667 0.057
I 0.667 0.333 0.724

Entry 7:
The following is a DFT calculation (PBE-GGA) of CoTe2I after structural relaxation.

Calculated values
- Raw formation energy: -0.02 eV per atom
- Energy relative to the lowest polymorph listed for this composition: 135 meV per atom

Cell lengths 6.818, 9.803, 6.818 Å; angles 90.00, 90.00, 90.00 degrees
Positions (direct):
Co 0.018 0.151 0.000
Co 0.482 0.651 0.500
Co 0.518 0.349 0.000
Co 0.982 0.849 0.500
Te 0.181 0.983 0.753
Te 0.186 0.688 0.722
Te 0.314 0.188 0.222
Te 0.319 0.483 0.253
Te 0.681 0.517 0.753
Te 0.686 0.812 0.722
Te 0.814 0.312 0.222
Te 0.819 0.017 0.253
I 0.197 0.331 0.782
I 0.303 0.831 0.282
I 0.697 0.169 0.782
I 0.803 0.669 0.282

Entry 8:
The following is a DFT calculation (PBE-GGA) of CoTeI after structural relaxation.

Calculated values
- Raw formation energy: -0.09 eV per atom

Cell lengths 3.787, 3.787, 6.958 Å; angles 90.00, 90.00, 120.00 degrees
Positions (direct):
Co 0.000 0.000 0.000
Te 0.667 0.333 0.190
I 0.333 0.667 0.786

Entry 9:
The following is a DFT calculation (PBE-GGA) of CoTe2I after structural relaxation.

Calculated values
- Raw formation energy: 0.16 eV per atom
- Energy relative to the lowest polymorph listed for this composition: 315 meV per atom

Cell lengths 3.590, 27.748, 5.149 Å; angles 90.00, 90.00, 90.00 degrees
Positions (direct):
Co 0.000 0.135 0.250
Co 0.000 0.865 0.750
Co 0.500 0.365 0.750
Co 0.500 0.635 0.250
Te 0.000 0.302 0.750
Te 0.000 0.355 0.250
Te 0.000 0.645 0.750
Te 0.000 0.698 0.250
Te 0.500 0.145 0.750
Te 0.500 0.198 0.250
Te 0.500 0.802 0.750
Te 0.500 0.855 0.250
I 0.000 0.435 0.750
I 0.000 0.565 0.250
I 0.500 0.065 0.250
I 0.500 0.935 0.750

Entry 10:
The following is a DFT calculation (PBE-GGA) of TiCoTe2I after structural relaxation.

Calculated values
- Raw formation energy: 0.55 eV per atom
- Energy relative to the lowest polymorph listed for this composition: 24 meV per atom

Cell lengths 5.005, 5.005, 5.118 Å; angles 90.00, 90.00, 90.00 degrees
Positions (direct):
Ti 0.000 0.000 0.000
Co 0.500 0.500 0.500
Te 0.000 0.500 0.500
Te 0.500 0.000 0.500
I 0.500 0.500 0.000

Entry 11:
The following is a DFT calculation (PBE-GGA) of TiCoTe2I after structural relaxation.

Calculated values
- Raw formation energy: 0.53 eV per atom
- Energy relative to the lowest polymorph listed for this composition: 0 meV per atom

Cell lengths 5.273, 5.273, 5.697 Å; angles 90.00, 90.00, 90.00 degrees
Positions (direct):
Ti 0.000 0.000 0.000
Co 0.500 0.500 0.500
Te 0.000 0.500 0.000
Te 0.500 0.000 0.000
I 0.000 0.000 0.500

Entry 12:
The following is a DFT calculation (PBE-GGA) of VCoTe2I after structural relaxation.

Calculated values
- Raw formation energy: 0.76 eV per atom
- Energy relative to the lowest polymorph listed for this composition: 0 meV per atom

Cell lengths 5.138, 5.138, 5.803 Å; angles 90.00, 90.00, 90.00 degrees
Positions (direct):
V 0.000 0.000 0.000
Co 0.500 0.500 0.500
Te 0.000 0.500 0.000
Te 0.500 0.000 0.000
I 0.000 0.000 0.500

Entry 13:
The following is a DFT calculation (PBE-GGA) of VCoTeI2 after structural relaxation.

Calculated values
- Raw formation energy: 0.75 eV per atom
- Energy relative to the lowest polymorph listed for this composition: 0 meV per atom

Cell lengths 5.553, 5.553, 5.218 Å; angles 90.00, 90.00, 90.00 degrees
Positions (direct):
V 0.000 0.000 0.000
Co 0.500 0.500 0.500
Te 0.000 0.000 0.500
I 0.000 0.500 0.000
I 0.500 0.000 0.000